No. 1
K7AgHg2 | PBE | optimized geometry

a = 9.428 Å, b = 10.913 Å, c = 11.670 Å
α = 64.35°, β = 66.17°, γ = 64.41°
Positions (direct):
Hg  0.302  0.098  0.292
Hg  0.691  0.402  0.208
Hg  0.698  0.902  0.708
Hg  0.309  0.598  0.792
K  0.876  0.713  0.006
K  0.908  0.411  0.410
K  0.689  0.535  0.859
K  0.916  0.035  0.359
K  0.730  0.089  0.090
K  0.405  0.213  0.506
K  0.402  0.750  0.250
K  0.270  0.911  0.910
K  0.124  0.287  0.994
K  0.084  0.965  0.641
K  0.595  0.787  0.494
K  0.311  0.465  0.141
K  0.598  0.250  0.750
K  0.092  0.589  0.590
Ag  0.005  0.750  0.250
Ag  0.995  0.250  0.750

## Properties
E: -23.83 eV/cell
Magnetization: 0.000 μB/atom
Volume: 941 Å³/cell
Formation energy from the elements: -0.078 eV/atom

---

No. 2
Np3Sc5Se12 | PBE | optimized geometry

a = 14.153 Å, b = 14.153 Å, c = 14.153 Å
α = 109.47°, β = 109.47°, γ = 109.47°
Positions (direct):
Se  0.873  0.284  0.459
Se  0.959  0.373  0.284
Se  0.910  0.824  0.784
Se  0.590  0.716  0.676
Se  0.824  0.914  0.041
Se  0.414  0.373  0.590
Se  0.216  0.676  0.090
Se  0.541  0.216  0.127
Se  0.324  0.541  0.414
Se  0.824  0.910  0.284
Se  0.959  0.586  0.176
Se  0.176  0.086  0.959
Se  0.041  0.627  0.716
Se  0.176  0.090  0.716
Se  0.090  0.176  0.216
Se  0.127  0.410  0.086
Se  0.459  0.784  0.873
Se  0.586  0.627  0.410
Se  0.716  0.127  0.041
Se  0.627  0.586  0.910
Se  0.914  0.824  0.541
Se  0.676  0.216  0.590
Se  0.284  0.410  0.824
Se  0.041  0.414  0.824
Se  0.914  0.090  0.873
Se  0.324  0.784  0.410
Se  0.410  0.284  0.324
Se  0.784  0.324  0.910
Se  0.676  0.459  0.586
Se  0.373  0.414  0.090
Se  0.090  0.914  0.373
Se  0.284  0.873  0.959
Se  0.873  0.590  0.914
Se  0.414  0.041  0.324
Se  0.086  0.910  0.127
Se  0.627  0.041  0.216
Se  0.410  0.127  0.586
Se  0.586  0.959  0.676
Se  0.541  0.324  0.914
Se  0.216  0.541  0.627
Se  0.784  0.459  0.373
Se  0.459  0.676  0.086
Se  0.910  0.086  0.627
Se  0.127  0.716  0.541
Se  0.716  0.590  0.176
Se  0.373  0.959  0.784
Se  0.086  0.176  0.459
Se  0.590  0.873  0.414
Sc  0.500  0.000  0.500
Sc  0.500  0.500  0.500
Sc  0.000  0.000  0.000
Sc  0.375  0.250  0.125
Sc  0.875  0.625  0.750
Sc  0.375  0.125  0.750
Sc  0.250  0.875  0.125
Sc  0.500  0.000  0.000
Sc  0.250  0.375  0.625
Sc  0.750  0.125  0.875
Sc  0.625  0.875  0.250
Sc  0.000  0.500  0.000
Sc  0.125  0.750  0.375
Sc  0.125  0.375  0.250
Sc  0.500  0.500  0.000
Sc  0.750  0.625  0.375
Sc  0.875  0.250  0.625
Sc  0.000  0.000  0.500
Sc  0.000  0.500  0.500
Sc  0.625  0.750  0.875
Np  0.375  0.750  0.625
Np  0.375  0.625  0.250
Np  0.750  0.375  0.125
Np  0.125  0.875  0.750
Np  0.125  0.250  0.875
Np  0.250  0.625  0.875
Np  0.625  0.375  0.750
Np  0.750  0.875  0.625
Np  0.625  0.250  0.375
Np  0.250  0.125  0.375
Np  0.875  0.125  0.250
Np  0.875  0.750  0.125

## Properties
E: -557.23 eV/cell
Magnetization: 0.600 μB/atom
Volume: 2182 Å³/cell

---

No. 3
PmTiZn4 | PBE | optimized geometry

a = 5.332 Å, b = 5.332 Å, c = 5.332 Å
α = 60.00°, β = 60.00°, γ = 60.00°
Positions (direct):
Zn  0.626  0.122  0.626
Zn  0.626  0.626  0.122
Zn  0.122  0.626  0.626
Zn  0.626  0.626  0.626
Pm  0.250  0.250  0.250
Ti  0.000  0.000  0.000

## Properties
E: -18.90 eV/cell
Magnetization: 0.328 μB/atom
Volume: 107 Å³/cell
Formation energy from the elements: -0.193 eV/atom

---

No. 4
NpUSi | PBE | optimized geometry

a = 3.017 Å, b = 4.607 Å, c = 4.607 Å
α = 120.00°, β = 90.00°, γ = 90.00°
Positions (direct):
Np  0.039  0.000  0.000
Si  0.682  0.667  0.333
U  0.279  0.333  0.667

## Properties
E: -29.69 eV/cell
Magnetization: 1.293 μB/atom
Volume: 55 Å³/cell

---

No. 5
CeScSn | PBE | optimized geometry

a = 5.230 Å, b = 5.230 Å, c = 6.363 Å
α = 90.00°, β = 90.00°, γ = 120.00°
Positions (direct):
Sn  0.667  0.833  0.750
Sn  0.333  0.167  0.250
Sc  0.333  0.167  0.750
Sc  0.667  0.833  0.250
Ce  0.000  0.500  0.500
Ce  0.000  0.500  0.000

## Properties
E: -36.02 eV/cell
Magnetization: 0.314 μB/atom
Volume: 151 Å³/cell
Formation energy from the elements: -0.581 eV/atom

---

No. 6
Cu3Ag2Br6 | PBE | optimized geometry

a = 7.850 Å, b = 7.230 Å, c = 23.160 Å
α = 123.47°, β = 80.24°, γ = 57.12°
Positions (direct):
Br  0.692  0.531  0.893
Br  0.604  0.613  0.351
Br  0.922  0.150  0.113
Br  0.883  0.031  0.393
Br  0.308  0.469  0.107
Br  0.185  0.350  0.387
Br  0.117  0.969  0.607
Br  0.078  0.850  0.887
Br  0.432  0.113  0.851
Br  0.568  0.887  0.149
Br  0.396  0.387  0.649
Br  0.815  0.650  0.613
Cu  0.055  0.954  0.803
Cu  0.555  0.750  0.250
Cu  0.445  0.250  0.750
Cu  0.945  0.046  0.197
Cu  0.188  0.454  0.303
Cu  0.812  0.546  0.697
Ag  0.344  0.019  0.083
Ag  0.656  0.981  0.917
Ag  0.446  0.481  0.417
Ag  0.554  0.519  0.583

## Properties
E: -61.67 eV/cell
Magnetization: 0.095 μB/atom
Volume: 684 Å³/cell

---

No. 7
Pr6Bi3Te2Se | PBE | optimized geometry

a = 4.552 Å, b = 9.083 Å, c = 10.173 Å
α = 102.67°, β = 102.93°, γ = 90.00°
Positions (direct):
Pr  0.658  0.079  0.317
Pr  0.665  0.585  0.330
Pr  0.335  0.415  0.670
Pr  0.002  0.765  0.004
Pr  0.998  0.235  0.996
Pr  0.342  0.921  0.683
Bi  0.500  0.500  0.000
Bi  0.830  0.164  0.659
Bi  0.170  0.836  0.341
Se  0.500  0.000  0.000
Te  0.834  0.666  0.668
Te  0.166  0.334  0.332

## Properties
E: -65.31 eV/cell
Magnetization: 0.000 μB/atom
Volume: 399 Å³/cell

---

No. 8
Pm7Dy12Ho | PBE | optimized geometry

a = 9.784 Å, b = 9.784 Å, c = 9.784 Å
α = 109.47°, β = 109.47°, γ = 109.47°
Positions (direct):
Pm  0.500  0.500  0.000
Pm  0.000  0.500  0.500
Pm  0.500  0.000  0.000
Pm  0.500  0.000  0.500
Pm  0.000  0.500  0.000
Pm  0.000  0.000  0.500
Pm  0.500  0.500  0.500
Dy  0.000  0.753  0.247
Dy  0.753  0.247  0.000
Dy  0.247  0.000  0.753
Dy  0.000  0.247  0.753
Dy  0.507  0.753  0.753
Dy  0.247  0.493  0.247
Dy  0.247  0.753  0.000
Dy  0.493  0.247  0.247
Dy  0.753  0.507  0.753
Dy  0.247  0.247  0.493
Dy  0.753  0.000  0.247
Dy  0.753  0.753  0.507
Ho  0.000  0.000  0.000

## Properties
E: -80.08 eV/cell
Magnetization: 0.000 μB/atom
Volume: 721 Å³/cell
Formation energy from the elements: 0.649 eV/atom

---

No. 9
BaSr2CaCo | PBE | optimized geometry

a = 5.975 Å, b = 5.975 Å, c = 5.980 Å
α = 90.00°, β = 90.00°, γ = 90.00°
Positions (direct):
Sr  0.500  0.000  0.000
Sr  0.000  0.500  0.000
Ba  0.000  0.000  0.500
Co  0.000  0.000  0.000
Ca  0.500  0.500  0.500

## Properties
E: -13.27 eV/cell
Magnetization: 0.071 μB/atom
Volume: 214 Å³/cell
Formation energy from the elements: 0.225 eV/atom